# VCu2Pt8, relaxed, DFT GGA-PBE
data_VCu2Pt8
_chemical_formula_sum 'V2 Cu4 Pt16'
_cell_length_a 13.992
_cell_length_b 3.928
_cell_length_c 6.192
_cell_angle_alpha 90.00
_cell_angle_beta 106.07
_cell_angle_gamma 90.00
_symmetry_space_group_name_H-M 'C 1 2/m 1'
_symmetry_Int_Tables_number 12
_symmetry_space_group_name_Hall '-C 2y'
loop_
_atom_site_label
_atom_site_type_symbol
_atom_site_fract_x
_atom_site_fract_y
_atom_site_fract_z
V1 V 0.000 0.000 0.000
Cu1 Cu 0.226 0.500 0.632
Pt1 Pt 0.046 0.500 0.729
Pt2 Pt 0.094 0.000 0.447
Pt3 Pt 0.135 0.500 0.181
Pt4 Pt 0.181 0.000 0.916
# N(E_F) in states/eV per cell: 24.14
# Total energy in eV per atom: -6.21
# Size of the total moment in μB/atom: 0.00
# Calculated formation energy in eV/atom: -0.25
# Mass density in Mg/m³: 17.658

# CsSr2InBr8, relaxed, DFT GGA-PBE
data_CsSr2InBr8
_chemical_formula_sum 'Cs1 Sr2 In1 Br8'
_cell_length_a 6.946
_cell_length_b 7.072
_cell_length_c 9.665
_cell_angle_alpha 89.95
_cell_angle_beta 89.92
_cell_angle_gamma 89.40
_symmetry_space_group_name_H-M 'P -1'
_symmetry_Int_Tables_number 2
_symmetry_space_group_name_Hall '-P 1'
loop_
_atom_site_label
_atom_site_type_symbol
_atom_site_fract_x
_atom_site_fract_y
_atom_site_fract_z
Cs1 Cs 0.000 0.000 0.000
Sr1 Sr 0.500 0.500 0.256
In1 In 0.000 0.000 0.500
Br1 Br 0.232 0.851 0.696
Br2 Br 0.233 0.852 0.304
Br3 Br 0.243 0.326 0.500
Br4 Br 0.262 0.408 0.000
# N(E_F) in states/eV per cell: 0.00
# Total energy in eV per atom: -3.26
# Raw formation energy in eV/atom: -1.568
# Size of the total moment in μB/atom: 0.00
# Mass density in Mg/m³: 3.715

# SmSi4Tc2, relaxed, DFT GGA-PBE
data_SmSi4Tc2
_chemical_formula_sum 'Sm2 Si8 Tc4'
_cell_length_a 7.155
_cell_length_b 7.155
_cell_length_c 5.625
_cell_angle_alpha 90.00
_cell_angle_beta 90.00
_cell_angle_gamma 90.00
_symmetry_space_group_name_H-M 'I 4/m m m'
_symmetry_Int_Tables_number 139
_symmetry_space_group_name_Hall '-I 4 2'
loop_
_atom_site_label
_atom_site_type_symbol
_atom_site_fract_x
_atom_site_fract_y
_atom_site_fract_z
Sm1 Sm 0.000 0.000 0.000
Si1 Si 0.000 0.237 0.500
Tc1 Tc 0.000 0.500 0.250
# N(E_F) in states/eV per cell: 12.00
# Total energy in eV per atom: -6.78
# Raw formation energy in eV/atom: -0.045
# Size of the total moment in μB/atom: 0.00
# Mass density in Mg/m³: 5.290